Crystalline RbLi3Ta at its relaxed geometry, computed with GGA-PBE.

## Properties
The calculation puts the energy relative to the elements at 1555 meV per atom. The calculation puts the magnetization at 0.5867 μB per atom. Its distance to the lowest polymorph of the same formula is 414 meV/atom.

a = 4.8524 Å, b = 4.8524 Å, c = 4.8524 Å
α = 90.00°, β = 90.00°, γ = 90.00°
Site moments in Bohr magnetons follow the coordinates.
Positions (direct):
Li1 0.0000 0.5000 0.0000  0.01
Li2 0.0000 0.0000 0.5000  0.01
Li3 0.5000 0.0000 0.0000  0.01
Rb1 0.0000 0.0000 0.0000  0.05
Ta1 0.5000 0.5000 0.5000  1.55

***

Crystalline RbLiTa2 at its relaxed geometry, computed with GGA-PBE.

## Properties
The calculation puts the energy relative to the elements at 2123 meV per atom. The calculation puts the magnetization at 0.0000 μB per atom. Its distance to the lowest polymorph of the same formula is 776 meV/atom.

a = 4.8936 Å, b = 4.8936 Å, c = 4.8936 Å
α = 60.00°, β = 60.00°, γ = 60.00°
Positions (direct):
Li1 0.0000 0.0000 0.0000
Rb1 0.5000 0.5000 0.5000
Ta1 0.2500 0.2500 0.2500
Ta2 0.7500 0.7500 0.7500